! SrPmBi2, relaxed, DFT PBE; values from VASP
&SYSTEM
  ibrav = 0, nat = 4, ntyp = 3
/
ATOMIC_SPECIES
Sr 87.62 Sr.upf
Pm 145.00 Pm.upf
Bi 208.98 Bi.upf
CELL_PARAMETERS angstrom
0.000 4.055 4.055
4.055 0.000 4.055
4.055 4.055 0.000
ATOMIC_POSITIONS crystal
Sr 0.000 0.000 0.000
Pm 0.500 0.500 0.500
Bi 0.250 0.250 0.250
Bi 0.750 0.750 0.750
! - Space group: Fm-3m, No. 225
! - E_form: -689 meV/atom
! - Energy above the most stable polymorph in this dataset: 0.108 eV/atom
! - E_tot: -0.3114 Ry per atom